No. 1
VASP calculation (PBE) on Tb7Tl2Pt2 after structural relaxation.

- E_form: -5.58 eV/f.u.
- DFT total energy: -4.98 eV per atom
- D(E_F): 19.997 states/eV per cell

CIF file:
```
data_Tb7Tl2Pt2
_cell_length_a 8.315
_cell_length_b 11.132
_cell_length_c 7.108
_cell_angle_alpha 90.00
_cell_angle_beta 90.00
_cell_angle_gamma 90.00
_space_group_name_H-M_alt 'C m m m'
_space_group_IT_number 65
_space_group_name_Hall '-C 2 2'
loop_
_atom_site_label
_atom_site_type_symbol
_atom_site_fract_x
_atom_site_fract_y
_atom_site_fract_z
Tb1 Tb 0.000 0.000 0.000
Tb2 Tb 0.000 0.500 0.243
Tb3 Tb 0.250 0.250 0.251
Tl1 Tl 0.179 0.000 0.500
Pt1 Pt 0.000 0.289 0.000
```

=====

No. 2
VASP calculation (PBE) on Tb2TlPt after structural relaxation.

- E_form: -3.14 eV/f.u.
- DFT total energy: -5.20 eV per atom
- Relative energy among the computed polymorphs: 0.001 eV per atom
- D(E_F): 3.000 states/eV per cell

CIF file:
```
data_Tb2TlPt
_cell_length_a 3.576
_cell_length_b 3.576
_cell_length_c 7.719
_cell_angle_alpha 90.00
_cell_angle_beta 90.00
_cell_angle_gamma 90.00
_space_group_name_H-M_alt 'P 4/m m m'
_space_group_IT_number 123
_space_group_name_Hall '-P 4 2'
loop_
_atom_site_label
_atom_site_type_symbol
_atom_site_fract_x
_atom_site_fract_y
_atom_site_fract_z
Tb1 Tb 0.000 0.000 0.218
Tl1 Tl 0.500 0.500 0.500
Pt1 Pt 0.500 0.500 0.000
```

=====

No. 3
VASP calculation (PBE) on Tb6TlPt after structural relaxation.

- E_form: -1.29 eV/f.u.
- DFT total energy: -4.69 eV per atom
- D(E_F): 10.637 states/eV per cell

CIF file:
```
data_Tb6TlPt
_cell_length_a 7.120
_cell_length_b 7.136
_cell_length_c 7.285
_cell_angle_alpha 90.31
_cell_angle_beta 118.87
_cell_angle_gamma 119.77
_space_group_name_H-M_alt 'P -1'
_space_group_IT_number 2
loop_
_space_group_symop_operation_xyz
'x,y,z'
'-x,-y,-z'
loop_
_atom_site_label
_atom_site_type_symbol
_atom_site_fract_x
_atom_site_fract_y
_atom_site_fract_z
Tb1 Tb 0.036 0.072 0.257
Tb2 Tb 0.292 0.720 0.257
Tb3 Tb 0.311 0.533 0.744
Tl1 Tl 0.500 0.000 0.000
Pt1 Pt 0.500 0.500 0.500
```

=====

No. 4
VASP calculation (PBE) on Tb11Tl9Pt4 after structural relaxation.

- E_form: -16.30 eV/f.u.
- DFT total energy: -4.70 eV per atom
- D(E_F): 28.791 states/eV per cell

CIF file:
```
data_Tb11Tl9Pt4
_cell_length_a 14.873
_cell_length_b 22.333
_cell_length_c 3.707
_cell_angle_alpha 90.00
_cell_angle_beta 90.00
_cell_angle_gamma 90.00
_space_group_name_H-M_alt 'C m m m'
_space_group_IT_number 65
_space_group_name_Hall '-C 2 2'
loop_
_atom_site_label
_atom_site_type_symbol
_atom_site_fract_x
_atom_site_fract_y
_atom_site_fract_z
Tb1 Tb 0.000 0.000 0.000
Tb2 Tb 0.000 0.161 0.000
Tb3 Tb 0.000 0.372 0.000
Tb4 Tb 0.191 0.500 0.000
Tb5 Tb 0.248 0.169 0.000
Tl1 Tl 0.000 0.500 0.500
Tl2 Tl 0.108 0.259 0.500
Tl3 Tl 0.140 0.073 0.500
Pt1 Pt 0.151 0.400 0.500
```

=====

No. 5
VASP calculation (PBE) on Tb12TlPt6 after structural relaxation.

- E_form: -15.83 eV/f.u.
- DFT total energy: -5.79 eV per atom
- D(E_F): 34.212 states/eV per cell

CIF file:
```
data_Tb12TlPt6
_cell_length_a 10.031
_cell_length_b 10.031
_cell_length_c 10.031
_cell_angle_alpha 90.00
_cell_angle_beta 90.00
_cell_angle_gamma 90.00
_space_group_name_H-M_alt 'I m -3'
_space_group_IT_number 204
_space_group_name_Hall '-I 2 2 3'
loop_
_atom_site_label
_atom_site_type_symbol
_atom_site_fract_x
_atom_site_fract_y
_atom_site_fract_z
Tb1 Tb 0.000 0.181 0.300
Tl1 Tl 0.000 0.000 0.000
Pt1 Pt 0.000 0.362 0.500
```

=====

No. 6
VASP calculation (PBE) on Tb12Tl5Pt2 after structural relaxation.

- E_form: -5.45 eV/f.u.
- DFT total energy: -4.47 eV per atom
- D(E_F): 39.449 states/eV per cell

CIF file:
```
data_Tb12Tl5Pt2
_cell_length_a 16.838
_cell_length_b 7.681
_cell_length_c 9.594
_cell_angle_alpha 90.00
_cell_angle_beta 101.84
_cell_angle_gamma 90.00
_space_group_name_H-M_alt 'C 1 2/m 1'
_space_group_IT_number 12
loop_
_space_group_symop_operation_xyz
'x,y,z'
'-x,-y,-z'
'-x,y,-z'
'x,-y,z'
'x+1/2,y+1/2,z'
'-x+1/2,-y+1/2,-z'
'-x+1/2,y+1/2,-z'
'x+1/2,-y+1/2,z'
loop_
_atom_site_label
_atom_site_type_symbol
_atom_site_fract_x
_atom_site_fract_y
_atom_site_fract_z
Tb1 Tb 0.009 0.000 0.263
Tb2 Tb 0.026 0.500 0.834
Tb3 Tb 0.147 0.249 0.571
Tb4 Tb 0.165 0.249 0.104
Tl1 Tl 0.000 0.500 0.500
Tl2 Tl 0.183 0.000 0.842
Tl3 Tl 0.205 0.000 0.362
Pt1 Pt 0.000 0.201 0.000
```

=====

> The lowest E_form belongs to which entry?

Tb11Tl9Pt4

=====

> What is the D(E_F) in the first record?

19.997 states/eV per cell